# LiVF2, relaxed, DFT GGA+U
# Energy above the lowest structure with this stoichiometry = 600 meV per atom
# Electronic total energy = -4.65 eV/atom
data_LiVF2
_symmetry_space_group_name_H-M 'F m -3 m'
_symmetry_Int_Tables_number 225
_symmetry_space_group_name_Hall '-F 4 2 3'
_cell_length_a 5.712
_cell_length_b 5.712
_cell_length_c 5.712
_cell_angle_alpha 90.00
_cell_angle_beta 90.00
_cell_angle_gamma 90.00
loop_
_atom_site_label
_atom_site_type_symbol
_atom_site_fract_x
_atom_site_fract_y
_atom_site_fract_z
Li1 Li 0.000 0.000 0.000
V1 V 0.000 0.000 0.500
F1 F 0.250 0.250 0.250